The following is a PBE calculation of a relaxed Ta2FeTe crystal, from Alexandria via LeMat-Bulk.

abc: 3.0929 3.0929 7.3159
angles: 90.00 90.00 90.00
With the nearest neighbours (Å) after each atom.
Space group P4/mmm (No. 123)
One atom of each set of equivalent atoms:
Ta 0.0000 0.0000 0.2106 x2  4 Fe 2.68
Fe 0.5000 0.5000 0.0000 x1  8 Ta 2.68
Te 0.5000 0.5000 0.5000 x1  8 Ta 3.04, 4 Te 3.09

Raw total energy = -8.577 eV/atom
Energy relative to the elements, uncorrected = 0.25 eV/atom
Density of states at the Fermi level = 4.07 states/eV/f.u.
Total magnetic moment = 0.2157 μB/atom